(1)
PmCdNO (PBE, relaxed); total magnetic moment = 0.0 μB per formula unit; symmetry = P4/nmm; energy = -6.05 eV/atom
1.0
-3.529 2.530 2.535
-2.763 -4.188 0.332
2.135 -1.087 4.057
N Cd O Pm
2 2 2 2
Cartesian
-0.313 -2.638 2.197
-0.699 0.722 3.293
0.367 0.179 5.319
-1.378 -2.095 0.172
0.000 0.000 0.000
-3.146 -0.829 1.433
1.067 -0.544 2.029
-2.079 -1.372 3.462

***

(2)
CsSrDyTe3 (PBE, relaxed); total magnetic moment = 0.0 μB per formula unit; symmetry = Cmcm; energy = -4.14 eV/atom
1.0
2.494 -8.704 0.000
2.494 8.704 0.000
0.000 0.000 12.956
Te Sr Dy Cs
6 2 2 2
Cartesian
2.494 -1.106 9.717
2.494 6.540 0.833
2.494 6.540 5.645
2.494 -6.540 12.123
2.494 1.106 3.239
2.494 -6.540 7.311
2.494 0.000 0.000
2.494 0.000 6.478
2.494 -8.136 9.717
2.494 8.136 3.239
2.494 4.433 9.717
2.494 -4.433 3.239

***

(3)
RbAgPbSe3 (PBE, relaxed); symmetry = Cmcm; energy = -3.39 eV/atom
1.0
2.034 -7.637 0.000
2.034 7.637 0.000
0.000 0.000 11.397
Se Ag Pb Rb
6 2 2 2
Cartesian
2.034 -2.036 0.472
2.034 2.036 6.171
2.034 2.036 10.925
2.034 -6.837 2.849
2.034 -2.036 5.226
2.034 6.837 8.548
2.034 0.914 8.548
2.034 -0.914 2.849
0.000 0.000 5.699
0.000 0.000 0.000
2.034 3.650 2.849
2.034 -3.650 8.548

***

(4)
AgSbO2 (PBE, relaxed); symmetry = C2/c; energy = -5.04 eV/atom
1.0
5.703 -2.282 0.000
5.703 2.282 0.000
-2.688 0.000 9.873
Sb O Ag
4 8 4
Cartesian
7.178 -0.170 6.343
0.197 -0.140 8.466
1.541 -0.170 3.530
8.521 -0.140 1.407
3.749 0.740 0.323
4.969 0.740 9.550
1.897 -1.185 8.212
6.313 -1.049 4.613
2.405 -1.049 5.260
6.821 -1.185 1.661
5.477 0.875 6.598
3.241 0.875 3.275
3.688 -0.157 7.405
5.703 2.101 0.000
5.030 -0.157 2.468
4.359 2.153 4.937

***

(5)
Pr2PtAu (PBE, relaxed); total magnetic moment = 0.0 μB per formula unit; symmetry = Pmc2_1; energy = -5.68 eV/atom
1.0
-1.624 -0.549 -4.421
4.780 -3.050 -1.377
-3.421 -6.280 2.037
Au Pt Pr
2 2 4
Cartesian
-1.105 -3.185 0.802
1.029 -8.779 0.713
-0.759 -4.898 -1.656
1.915 -2.373 -2.952
-0.888 -6.322 1.112
-0.871 -1.793 -2.001
1.058 -7.255 -2.030
1.809 -3.812 -0.191

***

(6)
NaGaFeMo (PBE, relaxed); total magnetic moment = 0.0 μB per formula unit; symmetry = F-43m; energy = -5.42 eV/atom
1.0
0.798 -1.697 3.865
-0.674 2.327 3.548
-3.254 -0.983 2.628
Na Ga Mo Fe
1 1 1 1
Cartesian
-2.347 -0.265 7.531
-1.565 -0.177 5.021
0.000 0.000 0.000
-0.782 -0.088 2.510

***

(7)
GdCdAgTe3 (PBE, relaxed); total magnetic moment = 0.0 μB per formula unit; symmetry = P2_1/m; energy = -3.61 eV/atom
1.0
-4.854 1.974 6.486
-0.904 -4.133 0.581
9.094 -1.368 4.424
Te Ag Cd Gd
6 2 2 2
Cartesian
-1.970 -2.549 2.346
0.660 -2.128 9.427
5.306 -0.978 9.145
2.676 -1.399 2.064
0.141 -0.346 5.601
3.195 -3.180 5.890
0.097 -0.973 1.074
3.239 -2.553 10.417
-2.500 -1.860 6.418
5.836 -1.667 5.074
2.613 -0.607 7.597
0.723 -2.920 3.894

***

(8)
LiZnCu2 (PBE, relaxed); symmetry = Pm-3m; energy = -2.71 eV/atom
1.0
-0.950 5.720 0.092
-3.796 -0.561 -4.347
-4.279 -0.772 3.836
Cu Zn Li
8 4 4
Cartesian
-2.701 3.986 -0.057
-4.148 0.793 -2.313
-6.324 0.401 -0.363
-4.394 0.686 1.847
-4.877 3.594 1.894
-2.218 1.078 -0.103
-6.807 3.309 -0.316
-4.631 3.701 -2.267
-2.614 2.474 1.964
-4.038 -0.666 -0.255
-2.373 2.579 -2.128
-4.512 2.194 -0.210
-2.140 -0.386 1.918
-1.898 -0.280 -2.174
-0.475 2.860 0.046
0.000 0.000 0.000

***

(9)
Li2Zn2InGaPd2 (PBE, relaxed); symmetry = P-4m2; energy = -3.29 eV/atom
1.0
-1.492 -0.402 4.122
4.134 -0.404 1.457
0.351 6.237 0.735
Li Pd Zn Ga In
2 2 2 1 1
Cartesian
-0.664 1.255 2.232
2.336 4.579 1.292
2.148 1.238 0.898
-0.476 4.596 2.626
1.321 -0.403 2.789
0.175 3.119 0.368
0.000 0.000 0.000
1.497 2.716 3.157